A) A geometry-optimized TlVSb2 structure. Source: Alexandria, functional PBE.

Values from the calculation:
Total moment = 1.7 μB/f.u.
Volume = 24.585 Å³ per atom

a b c (Å): 3.397 3.397 8.523
angles (deg): 90.00 90.00 90.00
Space group P4/mmm (No. 123)
Asymmetric unit:
Tl: 0.000 0.000 0.000 (multiplicity 1)
V: 0.000 0.000 0.500 (multiplicity 1)
Sb: 0.500 0.500 0.313 (multiplicity 2)

***

B) A geometry-optimized TlVSb2 structure. Source: Alexandria, functional PBE.

Values from the calculation:
Total moment = 1.9 μB/f.u.
Volume = 34.007 Å³ per atom

a b c (Å): 6.349 6.349 13.497
angles (deg): 90.00 90.00 90.00
Space group I-42d (No. 122)
Asymmetric unit:
Tl: 0.000 0.000 0.000 (multiplicity 4)
V: 0.000 0.000 0.500 (multiplicity 4)
Sb: 0.198 0.250 0.625 (multiplicity 8)

***

Computed stability ranking, most favorable first: A), B)

***

A) A geometry-optimized TlSb2W structure. Source: Alexandria, functional PBE.

Values from the calculation:
Total moment = 0.0 μB/f.u.
Volume = 24.388 Å³ per atom

a b c (Å): 3.354 3.358 8.662
angles (deg): 90.00 90.46 90.00
Space group P2/m (No. 10)
Asymmetric unit:
Tl: 0.000 0.000 0.000 (multiplicity 1)
Sb: 0.497 0.500 0.310 (multiplicity 2)
W: 0.000 0.000 0.500 (multiplicity 1)

***

B) A geometry-optimized TlSb2W structure. Source: Alexandria, functional PBE.

Values from the calculation:
Total moment = 0.0 μB/f.u.
Volume = 22.999 Å³ per atom

a b c (Å): 5.467 3.102 5.713
angles (deg): 90.00 108.31 90.00
Space group P2/m (No. 10)
Asymmetric unit:
Tl: 0.000 0.000 0.000 (multiplicity 1)
Sb: 0.000 0.500 0.500 (multiplicity 1)
Sb: 0.500 0.000 0.500 (multiplicity 1)
W: 0.500 0.500 0.000 (multiplicity 1)

***

C) A geometry-optimized TlSb2W structure. Source: Alexandria, functional PBE.

Values from the calculation:
Total moment = 1.6 μB/f.u.
Volume = 23.433 Å³ per atom

a b c (Å): 4.437 4.437 9.524
angles (deg): 90.00 90.00 90.00
Space group I-4m2 (No. 119)
Asymmetric unit:
Tl: 0.000 0.000 0.000 (multiplicity 2)
Sb: 0.000 0.000 0.500 (multiplicity 2)
Sb: 0.000 0.500 0.250 (multiplicity 2)
W: 0.000 0.500 0.750 (multiplicity 2)

***

D) A geometry-optimized TlSb2W structure. Source: Alexandria, functional PBE.

Values from the calculation:
Total moment = 0.0 μB/f.u.
Volume = 29.412 Å³ per atom

a b c (Å): 3.111 4.423 8.551
angles (deg): 90.00 90.00 90.00
Space group Pmm2 (No. 25)
Asymmetric unit:
Tl: 0.000 0.000 0.000 (multiplicity 1)
Sb: 0.000 0.000 0.404 (multiplicity 1)
Sb: 0.500 0.500 0.753 (multiplicity 1)
W: 0.500 0.500 0.441 (multiplicity 1)

***

Computed stability ranking, most favorable first: A), D), B), C)

***

A) A geometry-optimized TlSb2W structure. Source: Alexandria, functional PBE.

Values from the calculation:
Total moment = 0.4 μB/f.u.
Volume = 22.801 Å³ per atom

a b c (Å): 5.449 5.449 6.143
angles (deg): 90.00 90.00 90.00
Space group I4/mmm (No. 139)
Asymmetric unit:
Tl: 0.000 0.000 0.000 (multiplicity 2)
Sb: 0.000 0.500 0.250 (multiplicity 4)
W: 0.000 0.000 0.500 (multiplicity 2)

***

B) A geometry-optimized TlSb2W structure. Source: Alexandria, functional PBE.

Values from the calculation:
Total moment = 1.9 μB/f.u.
Volume = 23.463 Å³ per atom

a b c (Å): 7.214 7.214 7.214
angles (deg): 90.00 90.00 90.00
Space group Fm-3m (No. 225)
Asymmetric unit:
Tl: 0.000 0.000 0.000 (multiplicity 4)
Sb: 0.250 0.250 0.250 (multiplicity 8)
W: 0.000 0.000 0.500 (multiplicity 4)

***

Computed stability ranking, most favorable first: A), B)

***

A) A geometry-optimized TlSb2W structure. Source: Alexandria, functional PBE.

Values from the calculation:
Total moment = 0.0 μB/f.u.
Volume = 23.611 Å³ per atom

a b c (Å): 3.336 3.336 8.485
angles (deg): 90.00 90.00 90.00
Space group P4mm (No. 99)
Asymmetric unit:
Tl: 0.000 0.000 0.000 (multiplicity 1)
Sb: 0.000 0.000 0.409 (multiplicity 1)
Sb: 0.500 0.500 0.697 (multiplicity 1)
W: 0.500 0.500 0.235 (multiplicity 1)

***

B) A geometry-optimized TlSb2W structure. Source: Alexandria, functional PBE.

Values from the calculation:
Total moment = 0.0 μB/f.u.
Volume = 23.882 Å³ per atom

a b c (Å): 3.3239 3.3239 29.9518
angles (deg): 90.00 90.00 120.00
Space group R3m (No. 160, hexagonal axes)
Asymmetric unit:
Tl: 0.0000 0.0000 0.0000 (multiplicity 3)
Sb: 0.0000 0.0000 0.5241 (multiplicity 3)
Sb: 0.0000 0.0000 0.7631 (multiplicity 3)
W: 0.0000 0.0000 0.2553 (multiplicity 3)

***

Computed stability ranking, most favorable first: B), A)

***

A) A geometry-optimized TlSbW2 structure. Source: Alexandria, functional PBE.

Values from the calculation:
Total moment = 0.0 μB/f.u.
Volume = 21.699 Å³ per atom

a b c (Å): 3.151 4.805 11.465
angles (deg): 90.00 90.00 90.00
Space group Imm2 (No. 44)
Asymmetric unit:
Tl: 0.000 0.000 0.000 (multiplicity 2)
Sb: 0.000 0.500 0.221 (multiplicity 2)
W: 0.000 0.000 0.486 (multiplicity 2)
W: 0.000 0.500 0.816 (multiplicity 2)

***

B) A geometry-optimized TlSbW2 structure. Source: Alexandria, functional PBE.

Values from the calculation:
Total moment = 0.0 μB/f.u.
Volume = 19.215 Å³ per atom

a b c (Å): 4.264 4.264 8.456
angles (deg): 90.00 90.00 90.00
Space group I-4m2 (No. 119)
Asymmetric unit:
Tl: 0.000 0.000 0.000 (multiplicity 2)
Sb: 0.000 0.500 0.250 (multiplicity 2)
W: 0.000 0.000 0.500 (multiplicity 2)
W: 0.000 0.500 0.750 (multiplicity 2)

***

C) A geometry-optimized TlSbW2 structure. Source: Alexandria, functional PBE.

Values from the calculation:
Total moment = 0.0 μB/f.u.
Volume = 19.386 Å³ per atom

a b c (Å): 3.335 3.335 6.974
angles (deg): 90.00 90.00 90.00
Space group P4/mmm (No. 123)
Asymmetric unit:
Tl: 0.000 0.000 0.000 (multiplicity 1)
Sb: 0.000 0.000 0.500 (multiplicity 1)
W: 0.500 0.500 0.289 (multiplicity 2)

***

Computed stability ranking, most favorable first: A), C), B)

***

A) A geometry-optimized TlSbW2 structure. Source: Alexandria, functional PBE.

Values from the calculation:
Total moment = 0.0 μB/f.u.
Volume = 19.739 Å³ per atom

a b c (Å): 6.810 6.810 6.810
angles (deg): 90.00 90.00 90.00
Space group F-43m (No. 216)
Asymmetric unit:
Tl: 0.000 0.000 0.000 (multiplicity 4)
Sb: 0.250 0.250 0.250 (multiplicity 4)
W: 0.000 0.000 0.500 (multiplicity 4)
W: 0.250 0.250 0.750 (multiplicity 4)

***

B) A geometry-optimized TlSbW2 structure. Source: Alexandria, functional PBE.

Values from the calculation:
Total moment = 0.0 μB/f.u.
Volume = 19.462 Å³ per atom

a b c (Å): 6.007 9.190 3.049
angles (deg): 90.00 112.35 90.00
Space group C2/m (No. 12)
Asymmetric unit:
Tl: 0.000 0.000 0.000 (multiplicity 2)
Sb: 0.000 0.500 0.000 (multiplicity 2)
W: 0.250 0.250 0.500 (multiplicity 4)

***

Computed stability ranking, most favorable first: A), B)